# 1
Below is a geometry-optimized K3As structure, with properties calculated at the GGA-PBE level.

Lattice parameters (Å, degrees): 5.166 7.504 6.572 63.91 90.00 90.00
Element x y z (fractional)
K: 0.500 0.287 0.857
K: 0.000 0.000 0.500
K: 0.500 0.713 0.143
As: 0.000 0.000 0.000

Values from the calculation:
- magnetization (μB/f.u.) = 0.0
- final energy (eV/atom) = -2.176
- space-group type = P2/m, No. 10

=====

# 2
Below is a geometry-optimized K3As structure, with properties calculated at the GGA-PBE level.

Lattice parameters (Å, degrees): 5.258 5.258 5.258 90.00 90.00 90.00
Element x y z (fractional)
K: 0.500 0.500 0.084
K: 0.000 0.000 0.082
K: 0.000 0.500 0.583
As: 0.500 0.000 0.584

Values from the calculation:
- magnetization (μB/f.u.) = 0.0
- final energy (eV/atom) = -2.118
- space-group type = P-4m2, No. 115

=====

# 3
Below is a geometry-optimized K3As structure, with properties calculated at the GGA-PBE level.

Lattice parameters (Å, degrees): 6.531 6.531 6.531 90.00 90.00 90.00
Element x y z (fractional)
As: 0.000 0.000 0.000
As: 0.500 0.500 0.500
K: 0.000 0.750 0.500
K: 0.250 0.500 0.000
K: 0.500 0.000 0.250
K: 0.000 0.250 0.500
K: 0.500 0.000 0.750
K: 0.750 0.500 0.000

Values from the calculation:
- magnetization (μB/f.u.) = 0.0
- final energy (eV/atom) = -2.249
- space-group type = Pm-3n, No. 223

=====

# 4
Below is a geometry-optimized K5As3 structure, with properties calculated at the GGA-PBE level.

Lattice parameters (Å, degrees): 10.615 10.615 5.630 90.00 90.00 120.00
Element x y z (fractional)
K: 0.260 0.260 0.750
K: 0.740 0.000 0.750
K: 0.000 0.260 0.250
K: 0.667 0.333 0.000
K: 0.740 0.740 0.250
K: 0.667 0.333 0.500
K: 0.260 0.000 0.250
K: 0.000 0.740 0.750
K: 0.333 0.667 0.000
K: 0.333 0.667 0.500
As: 0.000 0.441 0.750
As: 0.000 0.559 0.250
As: 0.559 0.559 0.750
As: 0.559 0.000 0.250
As: 0.441 0.441 0.250
As: 0.441 0.000 0.750

Values from the calculation:
- magnetization (μB/f.u.) = 0.4
- final energy (eV/atom) = -2.613
- energy above the lowest structure with this stoichiometry (meV/atom) = 45.2
- space-group type = P6_3/mcm, No. 193